Y3Te3H2 after structural relaxation. Source: the Alexandria database, functional PBE-GGA.

SG: Cmcm (63)
raw total energy: -44.4 eV per formula unit
total magnetization: 0.00 μB per atom

```
data_Y3Te3H2
_chemical_formula_sum 'Y6 Te6 H4'
_space_group_name_H-M_alt 'P 1'
_space_group_IT_number 1
_cell_length_a 3.9943
_cell_length_b 5.9023
_cell_length_c 16.4402
_cell_angle_alpha 90.00
_cell_angle_beta 90.00
_cell_angle_gamma 109.78
loop_
_space_group_symop_operation_xyz
'x,y,z'
loop_
_atom_site_label
_atom_site_type_symbol
_atom_site_fract_x
_atom_site_fract_y
_atom_site_fract_z
_atom_site_occupancy
Y1 Y 0.3433 0.6865 0.5647 1
Y2 Y 0.3829 0.7658 0.2500 1
Y3 Y 0.6567 0.3135 0.0647 1
Y4 Y 0.6171 0.2342 0.7500 1
Y5 Y 0.6567 0.3135 0.4353 1
Y6 Y 0.3433 0.6865 0.9353 1
H1 H 0.7678 0.5357 0.5458 1
H2 H 0.2322 0.4643 0.4542 1
H3 H 0.7678 0.5357 0.9542 1
H4 H 0.2322 0.4643 0.0458 1
Te1 Te 0.3297 0.6594 0.7500 1
Te2 Te 0.9425 0.8849 0.1058 1
Te3 Te 0.9425 0.8849 0.3942 1
Te4 Te 0.0575 0.1151 0.6058 1
Te5 Te 0.6703 0.3406 0.2500 1
Te6 Te 0.0575 0.1151 0.8942 1
```